1.
A relaxed SrAc4Tm crystal. Source: Alexandria via LeMat-Bulk, functional GGA-PBE.

Summary:
* E_form: 0.06 eV/atom
* spin magnetization: 0.000 μB/f.u.
* density of states at the Fermi level: 1.603 states/eV per atom
* SG: No. 123
* distance to the lowest polymorph of the same formula: 0.00 eV per formula unit
* crystal system: tetragonal

a b c (Å): 3.996 3.996 16.361
angles (deg): 90.00 90.00 90.00
Fractional coordinates of all 6 atoms:
1 Ac 0.500 0.500 0.811
2 Ac 0.500 0.500 0.189
3 Ac 0.000 0.000 0.647
4 Tm 0.500 0.500 0.500
5 Ac 0.000 0.000 0.353
6 Sr 0.000 0.000 0.000

2.
A relaxed CrTcP2S crystal. Source: Alexandria via LeMat-Bulk, functional GGA-PBE.

Summary:
* spin magnetization: 3.165 μB/f.u.
* density of states at the Fermi level: 1.103 states/eV per atom
* uncorrected formation energy: 81.2 kJ/mol of atoms
* SG: No. 123
* distance to the lowest polymorph of the same formula: 0.00 eV per formula unit
* crystal system: tetragonal

a b c (Å): 4.423 4.423 4.387
angles (deg): 90.00 90.00 90.00
Each line ends with the local moment (μB).
Fractional coordinates of all 5 atoms:
1 Tc 0.500 0.500 0.500  2.36
2 Cr 0.000 0.000 0.000  1.07
3 P 0.000 0.500 0.000  -0.14
4 P 0.500 0.000 0.000  -0.14
5 S 0.000 0.000 0.500  -0.12

3.
A relaxed AlMoH2 crystal. Source: Alexandria via LeMat-Bulk, functional GGA-PBE.

Summary:
* spin magnetization: 0.000 μB/f.u.
* density of states at the Fermi level: 0.446 states/eV per atom
* SG: No. 166
* distance to the lowest polymorph of the same formula: 0.00 eV per formula unit
* crystal system: trigonal

a b c (Å): 2.837 2.837 6.017
angles (deg): 76.36 76.36 60.00
Fractional coordinates of all 4 atoms:
1 Al 0.000 0.000 0.000
2 Mo 0.500 0.500 0.500
3 H 0.110 0.110 0.669
4 H 0.890 0.890 0.331

The highest spin magnetization belongs to which entry? CrTcP2S

Please write out number 3 again, unchanged.
A relaxed AlMoH2 crystal. Source: Alexandria via LeMat-Bulk, functional GGA-PBE.

Summary:
* spin magnetization: 0.000 μB/f.u.
* density of states at the Fermi level: 0.446 states/eV per atom
* SG: No. 166
* distance to the lowest polymorph of the same formula: 0.00 eV per formula unit
* crystal system: trigonal

a b c (Å): 2.837 2.837 6.017
angles (deg): 76.36 76.36 60.00
Fractional coordinates of all 4 atoms:
1 Al 0.000 0.000 0.000
2 Mo 0.500 0.500 0.500
3 H 0.110 0.110 0.669
4 H 0.890 0.890 0.331